1.
DFT (PBE-GGA) results for a relaxed PrNd4Er2Th crystal.

DOS(E_F): 1.631 states/eV per atom
total energy: -5.009 eV per atom
SG: C2/m, No. 12

a = 5.1396 Å, b = 6.3014 Å, c = 9.5905 Å
α = 90.10°, β = 74.46°, γ = 65.93°
Fractional coordinates of all 8 atoms:
Nd  0.1263  0.1262  0.6212
Nd  0.8737  0.8738  0.3788
Th  0.5000  0.5000  0.5000
Nd  0.3778  0.3735  0.8709
Nd  0.6222  0.6265  0.1291
Er  0.7569  0.7412  0.7449
Pr  0.0000  0.0000  0.0000
Er  0.2431  0.2588  0.2551

2.
DFT (PBE-GGA) results for a relaxed PrNdEr3Th crystal.

DOS(E_F): 1.360 states/eV per atom
total energy: -4.890 eV per atom
SG: C2/m, No. 12

a = 5.6319 Å, b = 10.2533 Å, c = 7.0958 Å
α = 89.84°, β = 90.00°, γ = 105.94°
Fractional coordinates of all 12 atoms:
Er  0.8430  0.6860  0.2532
Er  0.7787  0.5575  0.7525
Er  0.4764  0.9528  0.2526
Nd  0.6483  0.2965  0.4614
Er  0.2213  0.4425  0.2475
Th  0.9466  0.8933  0.7420
Pr  0.3533  0.7066  0.9601
Er  0.1570  0.3140  0.7468
Er  0.5236  0.0472  0.7474
Pr  0.6467  0.2934  0.0399
Nd  0.3517  0.7035  0.5386
Th  0.0534  0.1067  0.2580

3.
DFT (PBE-GGA) results for a relaxed PrNdErTh crystal.

DOS(E_F): 1.446 states/eV per atom
SG: Cm, No. 8
E above lowest polymorph: 0.0 meV/atom

a = 3.6243 Å, b = 3.6231 Å, c = 11.9483 Å
α = 90.02°, β = 98.73°, γ = 119.98°
Fractional coordinates of all 4 atoms:
Nd  0.4771  0.1359  0.6276
Er  0.1314  0.9641  0.1093
Pr  0.9646  0.3809  0.3610
Th  0.3049  0.5500  0.8717

4.
DFT (PBE-GGA) results for a relaxed PrNdErTh crystal.

DOS(E_F): 2.829 states/eV per atom
SG: F-43m, No. 216
E above lowest polymorph: 191.3 meV/atom

a = 5.7532 Å, b = 5.7532 Å, c = 5.7532 Å
α = 60.00°, β = 60.00°, γ = 60.00°
Fractional coordinates of all 4 atoms:
Pr  0.7500  0.7500  0.7500
Th  0.0000  0.0000  0.0000
Nd  0.2500  0.2500  0.2500
Er  0.5000  0.5000  0.5000

5.
DFT (PBE-GGA) results for a relaxed Pr2Nd4ErTh crystal.

DOS(E_F): 1.992 states/eV per atom
total energy: -4.944 eV per atom
SG: P2/m, No. 10

a = 6.1273 Å, b = 6.1153 Å, c = 9.5456 Å
α = 50.29°, β = 90.00°, γ = 90.00°
Fractional coordinates of all 8 atoms:
Th  0.5000  0.5000  0.0000
Nd  0.5000  0.7538  0.2459
Nd  0.0000  0.7452  0.7547
Er  0.0000  0.5000  0.5000
Pr  0.5000  0.0000  0.5000
Nd  0.5000  0.2462  0.7541
Nd  0.0000  0.2548  0.2453
Pr  0.0000  0.0000  0.0000

6.
DFT (PBE-GGA) results for a relaxed PrNd2Er4Th crystal.

DOS(E_F): 1.315 states/eV per atom
total energy: -4.970 eV per atom
SG: P2/m, No. 10

a = 5.1259 Å, b = 5.1140 Å, c = 11.1707 Å
α = 62.80°, β = 90.00°, γ = 90.00°
Fractional coordinates of all 8 atoms:
Th  0.0000  0.5000  0.5000
Nd  0.0000  0.0000  0.0000
Er  0.5000  0.7440  0.2555
Er  0.0000  0.2447  0.2553
Pr  0.5000  0.5000  0.0000
Nd  0.5000  0.0000  0.5000
Er  0.0000  0.7553  0.7447
Er  0.5000  0.2560  0.7445

7.
DFT (PBE-GGA) results for a relaxed PrNd2Er5Th crystal.

DOS(E_F): 1.214 states/eV per atom
total energy: -4.666 eV per atom
SG: I4/mcm, No. 140

a = 8.6978 Å, b = 8.6978 Å, c = 9.8779 Å
α = 116.12°, β = 116.12°, γ = 90.00°
Fractional coordinates of all 18 atoms:
Er  0.1485  0.0737  0.7222
Nd  0.3836  0.8836  0.0000
Nd  0.6164  0.1164  0.0000
Er  0.5000  0.5000  0.0000
Er  0.0737  0.5737  0.7222
Nd  0.1164  0.3836  0.0000
Er  0.9263  0.4263  0.2778
Er  0.3515  0.8515  0.2778
Er  0.4263  0.3515  0.2778
Th  0.2500  0.2500  0.5000
Er  0.5737  0.6485  0.7222
Er  0.8515  0.9263  0.2778
Th  0.7500  0.7500  0.5000
Pr  0.7500  0.2500  0.5000
Nd  0.8836  0.6164  0.0000
Pr  0.2500  0.7500  0.5000
Er  0.0000  0.0000  0.0000
Er  0.6485  0.1485  0.7222

8.
DFT (PBE-GGA) results for a relaxed PrNdErTl crystal.

DOS(E_F): 1.380 states/eV per atom
SG: Pmmm, No. 47
E above lowest polymorph: 0.0 meV/atom

a = 5.0345 Å, b = 4.9062 Å, c = 4.9178 Å
α = 90.00°, β = 90.00°, γ = 90.00°
Fractional coordinates of all 4 atoms:
Nd  0.5000  0.5000  0.0000
Er  0.0000  0.5000  0.5000
Tl  0.0000  0.0000  0.0000
Pr  0.5000  0.0000  0.5000

9.
DFT (PBE-GGA) results for a relaxed PrNd2ErTl4 crystal.

DOS(E_F): 0.826 states/eV per atom
total energy: -3.908 eV per atom
SG: R-3m, No. 166

a = 5.4824 Å, b = 5.4824 Å, c = 9.5333 Å
α = 73.29°, β = 73.29°, γ = 60.00°
Fractional coordinates of all 8 atoms:
Nd  0.2489  0.2489  0.2533
Er  0.5000  0.5000  0.5000
Tl  0.1266  0.1266  0.6203
Nd  0.7511  0.7511  0.7467
Tl  0.8734  0.8734  0.3797
Pr  0.0000  0.0000  0.0000
Tl  0.3768  0.3768  0.8695
Tl  0.6232  0.6232  0.1305

10.
DFT (PBE-GGA) results for a relaxed Pr3Nd6Er2Tl crystal.

DOS(E_F): 1.315 states/eV per atom
total energy: -4.541 eV per atom
SG: C2/m, No. 12

a = 6.3202 Å, b = 6.3202 Å, c = 11.9067 Å
α = 95.22°, β = 95.22°, γ = 120.27°
Fractional coordinates of all 12 atoms:
Nd  0.7528  0.7528  0.2441
Pr  0.1694  0.8306  0.5000
Tl  0.0000  0.0000  0.0000
Nd  0.0786  0.4053  0.2412
Pr  0.8306  0.1694  0.5000
Pr  0.5000  0.5000  0.5000
Er  0.3345  0.6655  0.0000
Nd  0.9214  0.5947  0.7588
Nd  0.2472  0.2472  0.7559
Er  0.6655  0.3345  0.0000
Nd  0.4053  0.0786  0.2412
Nd  0.5947  0.9214  0.7588

11.
DFT (PBE-GGA) results for a relaxed PrNdEr2Tl4 crystal.

DOS(E_F): 0.779 states/eV per atom
total energy: -3.864 eV per atom
SG: R-3m, No. 166

a = 5.4368 Å, b = 5.4368 Å, c = 9.4389 Å
α = 73.26°, β = 73.26°, γ = 60.00°
Fractional coordinates of all 8 atoms:
Tl  0.3754  0.3754  0.8737
Tl  0.6246  0.6246  0.1263
Er  0.7500  0.7500  0.7500
Nd  0.5000  0.5000  0.5000
Pr  0.0000  0.0000  0.0000
Tl  0.1254  0.1254  0.6239
Tl  0.8746  0.8746  0.3761
Er  0.2500  0.2500  0.2500

12.
DFT (PBE-GGA) results for a relaxed PrNdErTl crystal.

DOS(E_F): 1.590 states/eV per atom
SG: F-43m, No. 216
E above lowest polymorph: 120.1 meV/atom

a = 5.5936 Å, b = 5.5936 Å, c = 5.5936 Å
α = 60.00°, β = 60.00°, γ = 60.00°
Fractional coordinates of all 4 atoms:
Er  0.5000  0.5000  0.5000
Tl  0.0000  0.0000  0.0000
Pr  0.7500  0.7500  0.7500
Nd  0.2500  0.2500  0.2500

13.
DFT (PBE-GGA) results for a relaxed Pr6Nd2Er3Tl crystal.

DOS(E_F): 1.133 states/eV per atom
total energy: -4.546 eV per atom
SG: C2/m, No. 12

a = 6.2592 Å, b = 6.2592 Å, c = 11.9687 Å
α = 95.01°, β = 95.01°, γ = 120.11°
Fractional coordinates of all 12 atoms:
Er  0.1671  0.8329  0.5000
Pr  0.7581  0.7581  0.2533
Pr  0.4108  0.0843  0.2527
Pr  0.2419  0.2419  0.7467
Er  0.5000  0.5000  0.5000
Nd  0.3336  0.6664  0.0000
Pr  0.9157  0.5892  0.7473
Tl  0.0000  0.0000  0.0000
Pr  0.0843  0.4108  0.2527
Nd  0.6664  0.3336  0.0000
Pr  0.5892  0.9157  0.7473
Er  0.8329  0.1671  0.5000

14.
DFT (PBE-GGA) results for a relaxed Pr4Nd2ErTm crystal.

DOS(E_F): 1.410 states/eV per atom
total energy: -4.696 eV per atom
SG: P2/m, No. 10

a = 5.2010 Å, b = 5.1669 Å, c = 11.4737 Å
α = 63.15°, β = 90.00°, γ = 90.00°
Fractional coordinates of all 8 atoms:
Pr  0.0000  0.7513  0.7490
Tm  0.0000  0.5000  0.5000
Er  0.5000  0.5000  0.0000
Nd  0.5000  0.0000  0.5000
Pr  0.0000  0.2487  0.2510
Nd  0.0000  0.0000  0.0000
Pr  0.5000  0.7502  0.2498
Pr  0.5000  0.2498  0.7502

15.
DFT (PBE-GGA) results for a relaxed PrNd2Er5Tm crystal.

DOS(E_F): 1.123 states/eV per atom
total energy: -4.355 eV per atom
SG: I4/mcm, No. 140

a = 8.7273 Å, b = 8.7273 Å, c = 9.8544 Å
α = 116.28°, β = 116.28°, γ = 90.00°
Fractional coordinates of all 18 atoms:
Er  0.8480  0.9275  0.2754
Er  0.0725  0.5725  0.7246
Er  0.1520  0.0725  0.7246
Nd  0.8835  0.6165  0.0000
Pr  0.2500  0.2500  0.5000
Nd  0.3835  0.8835  0.0000
Pr  0.7500  0.7500  0.5000
Er  0.4275  0.3480  0.2754
Er  0.9275  0.4275  0.2754
Er  0.0000  0.0000  0.0000
Tm  0.2500  0.7500  0.5000
Er  0.5725  0.6520  0.7246
Tm  0.7500  0.2500  0.5000
Er  0.6520  0.1520  0.7246
Nd  0.6165  0.1165  0.0000
Er  0.5000  0.5000  0.0000
Nd  0.1165  0.3835  0.0000
Er  0.3480  0.8480  0.2754

16.
DFT (PBE-GGA) results for a relaxed PrNdEr4Tm2 crystal.

DOS(E_F): 2.215 states/eV per atom
total energy: -4.161 eV per atom
SG: Imma, No. 74

a = 9.4770 Å, b = 9.4770 Å, c = 11.7634 Å
α = 128.36°, β = 128.36°, γ = 88.52°
Fractional coordinates of all 16 atoms:
Nd  0.0000  0.5000  0.5000
Tm  0.5000  0.0000  0.0000
Er  0.7464  0.7524  0.0045
Er  0.7535  0.2436  0.4985
Er  0.2536  0.2476  0.9955
Tm  0.0000  0.0000  0.5000
Er  0.7476  0.7536  0.4955
Er  0.2465  0.7564  0.5015
Nd  0.0000  0.5000  0.0000
Er  0.7436  0.2535  0.9985
Tm  0.5000  0.5000  0.0000
Er  0.2524  0.2464  0.5045
Tm  0.5000  0.0000  0.5000
Pr  0.0000  0.0000  0.0000
Er  0.2565  0.7465  0.0015
Pr  0.5000  0.5000  0.5000

17.
DFT (PBE-GGA) results for a relaxed Pr2NdEr2Tm crystal.

DOS(E_F): 1.534 states/eV per atom
total energy: -4.590 eV per atom
SG: Pmma, No. 51

a = 5.6904 Å, b = 7.0638 Å, c = 9.8507 Å
α = 89.98°, β = 90.00°, γ = 90.00°
Fractional coordinates of all 12 atoms:
Pr  0.0000  0.2576  0.1800
Er  0.5000  0.7578  0.6696
Pr  0.0000  0.7576  0.8200
Nd  0.5000  0.2574  0.6552
Er  0.5000  0.2578  0.3305
Er  0.0000  0.2578  0.8361
Tm  0.0000  0.5077  0.5001
Pr  0.5000  0.5072  0.9998
Er  0.0000  0.7578  0.1637
Pr  0.5000  0.0074  0.0002
Tm  0.0000  0.0077  0.5000
Nd  0.5000  0.7574  0.3449

18.
DFT (PBE-GGA) results for a relaxed Pr2NdEr2Tm2 crystal.

DOS(E_F): 1.732 states/eV per atom
total energy: -4.476 eV per atom
SG: C2/m, No. 12

a = 3.4955 Å, b = 9.2706 Å, c = 8.4711 Å
α = 118.85°, β = 90.00°, γ = 100.87°
Fractional coordinates of all 7 atoms:
Pr  0.3523  0.7045  0.0874
Er  0.5707  0.1413  0.2359
Nd  0.0000  0.0000  0.5000
Tm  0.2113  0.4225  0.6205
Er  0.4293  0.8587  0.7641
Tm  0.7887  0.5775  0.3795
Pr  0.6477  0.2955  0.9126

19.
DFT (PBE-GGA) results for a relaxed PrNd6Er2Tm3 crystal.

DOS(E_F): 1.120 states/eV per atom
total energy: -4.644 eV per atom
SG: C2/m, No. 12

a = 6.2624 Å, b = 6.2624 Å, c = 11.8419 Å
α = 95.04°, β = 95.04°, γ = 120.00°
Fractional coordinates of all 12 atoms:
Tm  0.5000  0.5000  0.5000
Tm  0.1669  0.8331  0.5000
Nd  0.4189  0.0845  0.2528
Pr  0.0000  0.0000  0.0000
Nd  0.9155  0.5811  0.7472
Er  0.6666  0.3334  0.0000
Er  0.3334  0.6666  0.0000
Tm  0.8331  0.1669  0.5000
Nd  0.2496  0.2496  0.7474
Nd  0.0845  0.4189  0.2528
Nd  0.5811  0.9155  0.7472
Nd  0.7504  0.7504  0.2526

20.
DFT (PBE-GGA) results for a relaxed PrNd2Er2Tm2 crystal.

DOS(E_F): 1.697 states/eV per atom
total energy: -4.473 eV per atom
SG: C2/m, No. 12

a = 3.4984 Å, b = 9.2666 Å, c = 8.4251 Å
α = 118.72°, β = 90.00°, γ = 100.88°
Fractional coordinates of all 7 atoms:
Er  0.2110  0.4219  0.6208
Tm  0.4292  0.8584  0.7655
Pr  0.0000  0.0000  0.5000
Tm  0.5708  0.1416  0.2345
Er  0.7890  0.5781  0.3792
Nd  0.6480  0.2961  0.9121
Nd  0.3520  0.7039  0.0879